Here is Cs2KPt after structural relaxation from Alexandria via LeMat-Bulk. Energies are from PBE.

```
Cs2KPt
1.0
-3.9258 -2.1682 2.2880
-1.7979 -4.3845 -1.7005
6.1481 -8.5200 8.0145
Pt K Cs
1 1 2
Direct
0.5000 0.5000 0.5000
0.0000 0.0000 0.0000
0.8763 0.8763 0.3711
0.1237 0.1237 0.6289
```

D(E_F): 2.254 states/eV/atom
uncorrected energy: -2.12 eV per atom
total moment: 0.054 μB/atom
formation enthalpy at 0 K: 0.090 eV per atom
distance to the lowest polymorph of the same formula: 0.0 meV/atom
SG: R-3m (166)